Here is a geometry-optimized SmTmCuAu structure from Alexandria. Energies are from PBE.

```
SmTmCuAu
1.0
3.762 0.000 0.000
0.000 4.540 0.000
-1.881 0.000 5.444
Au Tm Cu Sm
1 1 1 1
direct
0.420 0.000 0.839
0.861 0.500 0.722
0.579 0.500 0.157
0.141 0.000 0.281
```

Summary:
Electronic total energy ... -4.685 eV/atom
Calculated formation energy ... -210.1 kJ/mol of formula units
Relative energy among the computed polymorphs ... 0.0000 eV/atom
DOS at the Fermi energy ... 2.642 states/eV/f.u.

=====

Here is a geometry-optimized CsPd2Cl8 structure from Alexandria. Energies are from PBE.

```
CsPd2Cl8
1.0
4.927 0.097 -0.030
-0.152 5.363 -4.051
0.037 1.457 11.618
Pd Cl Cs
2 8 1
direct
0.499 0.788 0.333
0.501 0.212 0.667
0.499 0.804 0.540
0.499 0.788 0.135
0.498 0.391 0.228
0.001 0.216 0.697
0.502 0.609 0.772
0.999 0.784 0.303
0.501 0.212 0.865
0.501 0.196 0.460
0.000 0.000 0.000
```

Summary:
Electronic total energy ... -3.018 eV/atom
Formation energy without anion corrections ... -0.653 eV per atom
Relative energy among the computed polymorphs ... 0.0000 eV/atom
DOS at the Fermi energy ... 2.971 states/eV/f.u.

=====

Here is a geometry-optimized Ba2Na3Hg2 structure from Alexandria. Energies are from PBE.

```
Ba2Na3Hg2
1.0
-3.662 -3.049 0.498
3.352 0.684 5.783
-5.473 6.818 1.499
Na Ba Hg
3 2 2
direct
0.000 0.000 0.000
0.315 0.631 0.130
0.685 0.369 0.870
0.378 0.756 0.639
0.622 0.244 0.361
0.907 0.813 0.339
0.093 0.187 0.661
```

Summary:
Electronic total energy ... -1.473 eV/atom
Calculated formation energy ... -183.6 kJ/mol of formula units
DOS at the Fermi energy ... 4.640 states/eV/f.u.